(1)
Here is NdDy3HoEr after structural relaxation from Alexandria. Energies are from PBE. Values from VASP.

## Properties
DFT formation energy in eV/atom: 0.020
Total DFT energy (no corrections) in eV/atom: -4.60
Space-group type: Cmcm

```
&SYSTEM
  ibrav = 0, nat = 12, ntyp = 4
/
ATOMIC_SPECIES
Nd 144.24 Nd.upf
Dy 162.50 Dy.upf
Ho 164.93 Ho.upf
Er 167.26 Er.upf
CELL_PARAMETERS angstrom
2.5116 -7.5404 0.0000
2.5116 7.5404 0.0000
0.0000 0.0000 10.0694
ATOMIC_POSITIONS angstrom
Nd 2.5116 -7.5350 2.5174
Nd 2.5116 7.5350 7.5521
Dy 2.5116 5.0215 0.0008
Dy 2.5116 5.0215 5.0339
Dy 2.5116 2.5314 7.5521
Dy 2.5116 -2.5314 2.5174
Dy 2.5116 -5.0215 10.0686
Dy 2.5116 -5.0215 5.0356
Ho 2.5116 0.0000 0.0000
Ho 2.5116 0.0000 5.0347
Er 2.5116 2.5328 2.5174
Er 2.5116 -2.5328 7.5521
```

(2)
Here is Pm6Ge3Sb after structural relaxation from Alexandria. Energies are from PBE. Values from VASP.

## Properties
Total DFT energy (no corrections) in eV/atom: -5.37
Space-group type: P2_1/m
Formation energy (no corrections) in eV/atom: -0.725

```
&SYSTEM
  ibrav = 0, nat = 20, ntyp = 3
/
ATOMIC_SPECIES
Pm 145.00 Pm.upf
Ge 72.64 Ge.upf
Sb 121.76 Sb.upf
CELL_PARAMETERS angstrom
11.8769 0.0000 0.0000
0.0000 4.3729 0.0000
-3.6054 0.0000 11.8346
ATOMIC_POSITIONS angstrom
Pm -1.0627 1.0932 4.6555
Pm -2.1725 1.0932 11.1243
Pm 1.7532 3.2797 3.2420
Pm 0.7647 3.2797 8.9818
Pm 2.5209 1.0932 6.4184
Pm 4.6523 3.2797 1.1125
Pm 3.6192 1.0932 10.7221
Pm 5.7506 3.2797 5.4162
Pm 7.5067 1.0932 2.8528
Pm 6.5183 1.0932 8.5926
Pm 10.4440 3.2797 0.7103
Pm 9.3341 3.2797 7.1791
Ge 0.0433 1.0932 1.9909
Ge 0.4471 3.2797 5.9431
Ge 0.7359 1.0932 10.8968
Ge 7.5356 3.2797 0.9378
Ge 7.8244 1.0932 5.8915
Ge 8.2282 3.2797 9.8436
Sb 4.2138 1.0932 3.5856
Sb 4.0576 3.2797 8.2490
```

(3)
Here is CrCo3 after structural relaxation from Alexandria. Energies are from PBE. Values from VASP.

## Properties
DFT formation energy in eV/atom: 0.133
Polymorph energy (0 for the lowest one) in meV per atom: 138
Total DFT energy (no corrections) in eV/atom: -7.60
Space-group type: Pm-3n

```
&SYSTEM
  ibrav = 0, nat = 8, ntyp = 2
/
ATOMIC_SPECIES
Cr 52.00 Cr.upf
Co 58.93 Co.upf
CELL_PARAMETERS angstrom
4.4620 0.0000 0.0000
0.0000 4.4620 0.0000
0.0000 0.0000 4.4620
ATOMIC_POSITIONS angstrom
Cr 0.0000 0.0000 0.0000
Cr 2.2310 2.2310 2.2310
Co 0.0000 1.1155 2.2310
Co 0.0000 3.3465 2.2310
Co 1.1155 2.2310 0.0000
Co 2.2310 0.0000 1.1155
Co 2.2310 0.0000 3.3465
Co 3.3465 2.2310 0.0000
```

(4)
Here is CsBa2MgTl after structural relaxation from Alexandria. Energies are from PBE. Values from VASP.

## Properties
DFT formation energy in eV/atom: 0.048
Total DFT energy (no corrections) in eV/atom: -1.68
Space-group type: P4/mmm

```
&SYSTEM
  ibrav = 0, nat = 5, ntyp = 4
/
ATOMIC_SPECIES
Cs 132.91 Cs.upf
Ba 137.33 Ba.upf
Mg 24.30 Mg.upf
Tl 204.38 Tl.upf
CELL_PARAMETERS angstrom
6.9703 0.0000 0.0000
0.0000 6.9703 0.0000
0.0000 0.0000 5.6928
ATOMIC_POSITIONS angstrom
Cs 0.0000 0.0000 0.0000
Ba 0.0000 3.4851 2.8464
Ba 3.4851 0.0000 2.8464
Mg 3.4851 3.4851 0.0000
Tl 3.4851 3.4851 2.8464
```

(5)
Here is K2LiAu2F6 after structural relaxation from Alexandria. Energies are from PBE. Values from VASP.

## Properties
Total DFT energy (no corrections) in eV/atom: -3.77
Space-group type: C2/m
Formation energy (no corrections) in eV/atom: -1.779

```
&SYSTEM
  ibrav = 0, nat = 11, ntyp = 4
/
ATOMIC_SPECIES
K 39.10 K.upf
Li 6.94 Li.upf
Au 196.97 Au.upf
F 19.00 F.upf
CELL_PARAMETERS angstrom
6.4351 -2.7275 0.0000
6.4351 2.7275 0.0000
-2.9207 0.0000 5.8022
ATOMIC_POSITIONS angstrom
K 2.0624 0.0000 1.5466
K 7.8870 0.0000 4.2555
Li -1.4603 0.0000 2.9011
Au 5.4371 0.0000 1.0767
Au 4.5124 0.0000 4.7255
F 3.5926 1.3832 3.3085
F 1.1600 0.0000 5.3291
F 6.3569 1.3832 2.4937
F 3.5926 -1.3832 3.3085
F 8.7894 0.0000 0.4730
F 6.3569 -1.3832 2.4937
```

(6)
Here is SrTl2Ir after structural relaxation from Alexandria. Energies are from PBE. Values from VASP.

## Properties
DFT formation energy in eV/atom: 0.027
Total DFT energy (no corrections) in eV/atom: -3.79
Space-group type: P2/m

```
&SYSTEM
  ibrav = 0, nat = 4, ntyp = 3
/
ATOMIC_SPECIES
Sr 87.62 Sr.upf
Tl 204.38 Tl.upf
Ir 192.22 Ir.upf
CELL_PARAMETERS angstrom
5.4129 0.0000 0.0000
0.0000 4.3548 0.0000
-2.1122 0.0000 5.0111
ATOMIC_POSITIONS angstrom
Sr 0.0000 0.0000 0.0000
Tl 0.2563 2.1774 3.4372
Tl 3.0444 2.1774 1.5738
Ir 1.6504 0.0000 2.5055
```

(7)
Here is RbZnAs2Br after structural relaxation from Alexandria. Energies are from PBE. Values from VASP.

## Properties
Total DFT energy (no corrections) in eV/atom: -2.74
Space-group type: P4/mmm
Formation energy (no corrections) in eV/atom: -0.098

```
&SYSTEM
  ibrav = 0, nat = 5, ntyp = 4
/
ATOMIC_SPECIES
Rb 85.47 Rb.upf
Zn 65.41 Zn.upf
As 74.92 As.upf
Br 79.90 Br.upf
CELL_PARAMETERS angstrom
4.8301 0.0000 0.0000
0.0000 4.8301 0.0000
0.0000 0.0000 6.8138
ATOMIC_POSITIONS angstrom
Rb 0.0000 0.0000 0.0000
Zn 2.4151 2.4151 3.4069
As 0.0000 2.4151 3.4069
As 2.4151 0.0000 3.4069
Br 2.4151 2.4151 0.0000
```

(8)
Here is BaTl2Si after structural relaxation from Alexandria. Energies are from PBE. Values from VASP.

## Properties
Polymorph energy (0 for the lowest one) in meV per atom: 108
Total DFT energy (no corrections) in eV/atom: -3.03
Space-group type: Pmm2
Formation energy (no corrections) in eV/atom: -0.008

```
&SYSTEM
  ibrav = 0, nat = 4, ntyp = 3
/
ATOMIC_SPECIES
Ba 137.33 Ba.upf
Tl 204.38 Tl.upf
Si 28.09 Si.upf
CELL_PARAMETERS angstrom
3.9459 0.0000 0.0000
0.0000 4.0932 0.0000
0.0000 0.0000 7.5147
ATOMIC_POSITIONS angstrom
Ba 0.0000 0.0000 0.0000
Tl 0.0000 0.0000 3.4430
Tl 1.9730 2.0466 5.1107
Si 1.9730 2.0466 2.1944
```

(9)
Here is CdSb3S after structural relaxation from Alexandria. Energies are from PBE. Values from VASP.

## Properties
Polymorph energy (0 for the lowest one) in meV per atom: 0
Total DFT energy (no corrections) in eV/atom: -2.98
Space-group type: Pm-3m
Formation energy (no corrections) in eV/atom: 0.504

```
&SYSTEM
  ibrav = 0, nat = 5, ntyp = 3
/
ATOMIC_SPECIES
Cd 112.41 Cd.upf
Sb 121.76 Sb.upf
S 32.06 S.upf
CELL_PARAMETERS angstrom
5.2537 0.0000 0.0000
0.0000 5.2537 0.0000
0.0000 0.0000 5.2537
ATOMIC_POSITIONS angstrom
Cd 0.0000 0.0000 0.0000
Sb 0.0000 2.6268 2.6268
Sb 2.6268 0.0000 2.6268
Sb 2.6268 2.6268 0.0000
S 2.6268 2.6268 2.6268
```

(10)
Here is ZrNiAu2 after structural relaxation from Alexandria. Energies are from PBE. Values from VASP.

## Properties
DFT formation energy in eV/atom: -0.330
Total DFT energy (no corrections) in eV/atom: -5.55
Space-group type: F-43m

```
&SYSTEM
  ibrav = 0, nat = 16, ntyp = 3
/
ATOMIC_SPECIES
Zr 91.22 Zr.upf
Ni 58.69 Ni.upf
Au 196.97 Au.upf
CELL_PARAMETERS angstrom
6.5032 0.0000 0.0000
0.0000 6.5032 0.0000
0.0000 0.0000 6.5032
ATOMIC_POSITIONS angstrom
Zr 0.0000 0.0000 0.0000
Zr 0.0000 3.2516 3.2516
Zr 3.2516 0.0000 3.2516
Zr 3.2516 3.2516 0.0000
Ni 1.6258 1.6258 4.8774
Ni 1.6258 4.8774 1.6258
Ni 4.8774 1.6258 1.6258
Ni 4.8774 4.8774 4.8774
Au 0.0000 0.0000 3.2516
Au 0.0000 3.2516 0.0000
Au 1.6258 1.6258 1.6258
Au 1.6258 4.8774 4.8774
Au 3.2516 0.0000 0.0000
Au 3.2516 3.2516 3.2516
Au 4.8774 1.6258 4.8774
Au 4.8774 4.8774 1.6258
```

(11)
Here is La3YN after structural relaxation from Alexandria. Energies are from PBE. Values from VASP.

## Properties
Polymorph energy (0 for the lowest one) in meV per atom: 0
Total DFT energy (no corrections) in eV/atom: -6.41
Space-group type: Pm-3m
Formation energy (no corrections) in eV/atom: -0.497

```
&SYSTEM
  ibrav = 0, nat = 5, ntyp = 3
/
ATOMIC_SPECIES
La 138.91 La.upf
Y 88.91 Y.upf
N 14.01 N.upf
CELL_PARAMETERS angstrom
5.2272 0.0000 0.0000
0.0000 5.2272 0.0000
0.0000 0.0000 5.2272
ATOMIC_POSITIONS angstrom
La 0.0000 0.0000 2.6136
La 0.0000 2.6136 0.0000
La 2.6136 0.0000 0.0000
Y 2.6136 2.6136 2.6136
N 0.0000 0.0000 0.0000
```

(12)
Here is Ce3Co2Pb after structural relaxation from Alexandria. Energies are from PBE. Values from VASP.

## Properties
DFT formation energy in eV/atom: -0.202
Total DFT energy (no corrections) in eV/atom: -6.16
Space-group type: C2/m

```
&SYSTEM
  ibrav = 0, nat = 12, ntyp = 3
/
ATOMIC_SPECIES
Ce 140.12 Ce.upf
Co 58.93 Co.upf
Pb 207.20 Pb.upf
CELL_PARAMETERS angstrom
7.8450 -2.2364 0.0000
7.8450 2.2364 0.0000
-1.3731 0.0000 7.5155
ATOMIC_POSITIONS angstrom
Ce 0.8547 0.0000 2.7632
Ce 3.3726 0.0000 6.1111
Ce 5.7770 0.0000 2.8644
Ce 8.5400 0.0000 4.6510
Ce 10.9444 0.0000 1.4043
Ce 13.4623 0.0000 4.7522
Co 3.6201 0.0000 3.3319
Co 6.1097 0.0000 6.3307
Co 8.2073 0.0000 1.1847
Co 10.6969 0.0000 4.1835
Pb 0.1578 0.0000 7.0304
Pb 14.1592 0.0000 0.4850
```

Respective total magnetic moment values: 0.00; 0.00; 2.54; 0.00; 1.06; 0.00; 0.99; 0.00; 0.00; 0.00; 0.00; 0.64 μB per formula unit.